1.
Below is an optimized crystal structure of BeZnCu2, with properties calculated at the PBE level.

CIF file:
```
data_BeZnCu2
_cell_length_a 3.774
_cell_length_b 3.774
_cell_length_c 3.249
_cell_angle_alpha 90.00
_cell_angle_beta 90.00
_cell_angle_gamma 90.00
_symmetry_space_group_name_H-M 'P 1'
_symmetry_Int_Tables_number 1
loop_
_symmetry_equiv_pos_as_xyz
'x,y,z'
loop_
_atom_site_label
_atom_site_type_symbol
_atom_site_fract_x
_atom_site_fract_y
_atom_site_fract_z
Be1 Be 0.000 0.000 0.000
Zn1 Zn 0.500 0.500 0.000
Cu1 Cu 0.000 0.500 0.500
Cu2 Cu 0.500 0.000 0.500
```

Results
ΔE to the lowest computed polymorph (eV/atom): 0.060
Space group: P4/mmm (123)

***

2.
Below is an optimized crystal structure of BeZnCu, with properties calculated at the PBE level.

CIF file:
```
data_BeZnCu
_cell_length_a 3.803
_cell_length_b 3.803
_cell_length_c 3.803
_cell_angle_alpha 60.00
_cell_angle_beta 60.00
_cell_angle_gamma 60.00
_symmetry_space_group_name_H-M 'P 1'
_symmetry_Int_Tables_number 1
loop_
_symmetry_equiv_pos_as_xyz
'x,y,z'
loop_
_atom_site_label
_atom_site_type_symbol
_atom_site_fract_x
_atom_site_fract_y
_atom_site_fract_z
Be1 Be 0.000 0.000 0.000
Zn1 Zn 0.750 0.750 0.750
Cu1 Cu 0.250 0.250 0.250
```

Results
ΔE to the lowest computed polymorph (eV/atom): 0.255
Space group: F-43m (216)

***

3.
Below is an optimized crystal structure of BeZnCu2, with properties calculated at the PBE level.

CIF file:
```
data_BeZnCu2
_cell_length_a 5.132
_cell_length_b 5.132
_cell_length_c 5.132
_cell_angle_alpha 102.89
_cell_angle_beta 102.89
_cell_angle_gamma 123.62
_symmetry_space_group_name_H-M 'P 1'
_symmetry_Int_Tables_number 1
loop_
_symmetry_equiv_pos_as_xyz
'x,y,z'
loop_
_atom_site_label
_atom_site_type_symbol
_atom_site_fract_x
_atom_site_fract_y
_atom_site_fract_z
Be1 Be 0.000 0.000 0.000
Be2 Be 0.750 0.250 0.500
Zn1 Zn 0.250 0.750 0.500
Zn2 Zn 0.500 0.500 0.000
Cu1 Cu 0.087 0.625 0.962
Cu2 Cu 0.375 0.337 0.462
Cu3 Cu 0.663 0.125 0.038
Cu4 Cu 0.875 0.913 0.538
```

Results
ΔE to the lowest computed polymorph (eV/atom): 0.336
Space group: I-42d (122)

***

4.
Below is an optimized crystal structure of BeZn2Cu, with properties calculated at the PBE level.

CIF file:
```
data_BeZn2Cu
_cell_length_a 2.546
_cell_length_b 3.950
_cell_length_c 5.022
_cell_angle_alpha 90.00
_cell_angle_beta 104.50
_cell_angle_gamma 90.00
_symmetry_space_group_name_H-M 'P 1'
_symmetry_Int_Tables_number 1
loop_
_symmetry_equiv_pos_as_xyz
'x,y,z'
loop_
_atom_site_label
_atom_site_type_symbol
_atom_site_fract_x
_atom_site_fract_y
_atom_site_fract_z
Be1 Be 0.000 0.000 0.000
Zn1 Zn 0.191 0.500 0.759
Zn2 Zn 0.809 0.500 0.241
Cu1 Cu 0.500 0.000 0.500
```

Results
E (eV per atom): -2.522
Space group: P2/m (10)

***

5.
Below is an optimized crystal structure of BeZn2Cu, with properties calculated at the PBE level.

CIF file:
```
data_BeZn2Cu
_cell_length_a 4.099
_cell_length_b 4.099
_cell_length_c 4.099
_cell_angle_alpha 60.00
_cell_angle_beta 60.00
_cell_angle_gamma 60.00
_symmetry_space_group_name_H-M 'P 1'
_symmetry_Int_Tables_number 1
loop_
_symmetry_equiv_pos_as_xyz
'x,y,z'
loop_
_atom_site_label
_atom_site_type_symbol
_atom_site_fract_x
_atom_site_fract_y
_atom_site_fract_z
Be1 Be 0.000 0.000 0.000
Zn1 Zn 0.500 0.500 0.500
Zn2 Zn 0.750 0.750 0.750
Cu1 Cu 0.250 0.250 0.250
```

Results
E (eV per atom): -2.530
Space group: F-43m (216)

***

6.
Below is an optimized crystal structure of BeZnCu2, with properties calculated at the PBE level.

CIF file:
```
data_BeZnCu2
_cell_length_a 8.263
_cell_length_b 8.263
_cell_length_c 8.263
_cell_angle_alpha 17.89
_cell_angle_beta 17.89
_cell_angle_gamma 17.89
_symmetry_space_group_name_H-M 'P 1'
_symmetry_Int_Tables_number 1
loop_
_symmetry_equiv_pos_as_xyz
'x,y,z'
loop_
_atom_site_label
_atom_site_type_symbol
_atom_site_fract_x
_atom_site_fract_y
_atom_site_fract_z
Be1 Be 0.000 0.000 0.000
Zn1 Zn 0.500 0.500 0.500
Cu1 Cu 0.258 0.258 0.258
Cu2 Cu 0.742 0.742 0.742
```

Results
ΔE to the lowest computed polymorph (eV/atom): 0.069
Space group: R-3m (166)

***

7.
Below is an optimized crystal structure of BeZnCu, with properties calculated at the PBE level.

CIF file:
```
data_BeZnCu
_cell_length_a 2.557
_cell_length_b 3.995
_cell_length_c 6.845
_cell_angle_alpha 89.94
_cell_angle_beta 81.51
_cell_angle_gamma 90.00
_symmetry_space_group_name_H-M 'P 1'
_symmetry_Int_Tables_number 1
loop_
_symmetry_equiv_pos_as_xyz
'x,y,z'
loop_
_atom_site_label
_atom_site_type_symbol
_atom_site_fract_x
_atom_site_fract_y
_atom_site_fract_z
Be1 Be 0.048 0.249 0.401
Be2 Be 0.952 0.751 0.599
Zn1 Zn 0.282 0.750 0.920
Zn2 Zn 0.718 0.250 0.080
Cu1 Cu 0.426 0.251 0.688
Cu2 Cu 0.574 0.749 0.312
```

Results
ΔE to the lowest computed polymorph (eV/atom): 0.012
Space group: P-1 (2)

***

8.
Below is an optimized crystal structure of ZrBe2Cu, with properties calculated at the PBE level.

CIF file:
```
data_ZrBe2Cu
_cell_length_a 2.708
_cell_length_b 3.706
_cell_length_c 5.354
_cell_angle_alpha 90.00
_cell_angle_beta 104.48
_cell_angle_gamma 90.00
_symmetry_space_group_name_H-M 'P 1'
_symmetry_Int_Tables_number 1
loop_
_symmetry_equiv_pos_as_xyz
'x,y,z'
loop_
_atom_site_label
_atom_site_type_symbol
_atom_site_fract_x
_atom_site_fract_y
_atom_site_fract_z
Zr1 Zr 0.000 0.000 0.000
Be1 Be 0.632 0.500 0.265
Be2 Be 0.731 0.000 0.474
Cu1 Cu 0.305 0.500 0.618
```

Results
ΔE to the lowest computed polymorph (eV/atom): 0.125
Space group: Pm (6)

***

9.
Below is an optimized crystal structure of ZrBe2Cu, with properties calculated at the PBE level.

CIF file:
```
data_ZrBe2Cu
_cell_length_a 7.917
_cell_length_b 7.917
_cell_length_c 7.917
_cell_angle_alpha 150.89
_cell_angle_beta 150.89
_cell_angle_gamma 41.63
_symmetry_space_group_name_H-M 'P 1'
_symmetry_Int_Tables_number 1
loop_
_symmetry_equiv_pos_as_xyz
'x,y,z'
loop_
_atom_site_label
_atom_site_type_symbol
_atom_site_fract_x
_atom_site_fract_y
_atom_site_fract_z
Zr1 Zr 0.375 0.625 0.750
Zr2 Zr 0.625 0.375 0.250
Be1 Be 0.000 0.000 0.000
Be2 Be 0.000 0.000 0.500
Be3 Be 0.000 0.500 0.000
Be4 Be 0.500 0.000 0.500
Cu1 Cu 0.125 0.875 0.250
Cu2 Cu 0.875 0.125 0.750
```

Results
ΔE to the lowest computed polymorph (eV/atom): 0.353
Space group: I4_1/amd (141)

***

10.
Below is an optimized crystal structure of Zr2Be2Cu, with properties calculated at the PBE level.

CIF file:
```
data_Zr2Be2Cu
_cell_length_a 6.245
_cell_length_b 6.245
_cell_length_c 3.878
_cell_angle_alpha 90.00
_cell_angle_beta 90.00
_cell_angle_gamma 90.00
_symmetry_space_group_name_H-M 'P 1'
_symmetry_Int_Tables_number 1
loop_
_symmetry_equiv_pos_as_xyz
'x,y,z'
loop_
_atom_site_label
_atom_site_type_symbol
_atom_site_fract_x
_atom_site_fract_y
_atom_site_fract_z
Zr1 Zr 0.173 0.327 0.000
Zr2 Zr 0.327 0.827 0.000
Zr3 Zr 0.673 0.173 0.000
Zr4 Zr 0.827 0.673 0.000
Be1 Be 0.126 0.626 0.500
Be2 Be 0.374 0.126 0.500
Be3 Be 0.626 0.874 0.500
Be4 Be 0.874 0.374 0.500
Cu1 Cu 0.000 0.000 0.500
Cu2 Cu 0.500 0.500 0.500
```

Results
E (eV per atom): -5.885
Space group: P4/mbm (127)

***

11.
Below is an optimized crystal structure of Zr2BeCu, with properties calculated at the PBE level.

CIF file:
```
data_Zr2BeCu
_cell_length_a 4.309
_cell_length_b 4.309
_cell_length_c 5.797
_cell_angle_alpha 102.14
_cell_angle_beta 102.14
_cell_angle_gamma 44.23
_symmetry_space_group_name_H-M 'P 1'
_symmetry_Int_Tables_number 1
loop_
_symmetry_equiv_pos_as_xyz
'x,y,z'
loop_
_atom_site_label
_atom_site_type_symbol
_atom_site_fract_x
_atom_site_fract_y
_atom_site_fract_z
Zr1 Zr 0.247 0.247 0.235
Zr2 Zr 0.753 0.753 0.765
Be1 Be 0.500 0.500 0.000
Cu1 Cu 0.000 0.000 0.500
```

Results
E (eV per atom): -6.010
Space group: C2/m (12)

***

12.
Below is an optimized crystal structure of Zr2BeCu, with properties calculated at the PBE level.

CIF file:
```
data_Zr2BeCu
_cell_length_a 4.566
_cell_length_b 4.566
_cell_length_c 3.230
_cell_angle_alpha 90.00
_cell_angle_beta 90.00
_cell_angle_gamma 90.00
_symmetry_space_group_name_H-M 'P 1'
_symmetry_Int_Tables_number 1
loop_
_symmetry_equiv_pos_as_xyz
'x,y,z'
loop_
_atom_site_label
_atom_site_type_symbol
_atom_site_fract_x
_atom_site_fract_y
_atom_site_fract_z
Zr1 Zr 0.000 0.500 0.000
Zr2 Zr 0.500 0.000 0.000
Be1 Be 0.000 0.000 0.500
Cu1 Cu 0.500 0.500 0.500
```

Results
E (eV per atom): -6.304
Space group: P4/mmm (123)